P) First-principles (PBE-GGA) data for a relaxed BaCaY2 crystal, as listed in Alexandria.

Structure (POSCAR):
```
BaCaY2
1.0
-1.8119 1.7344 3.2907
-3.6332 -0.0400 -1.9794
-1.8122 -8.5313 3.4987
Y Ca Ba
2 1 1
Direct
0.0000 0.0000 0.9576
0.0000 0.0000 0.5424
0.5000 0.5000 0.7500
0.5000 0.5000 0.2500
```

Summary:
SG: P4/mmm

---

Q) First-principles (PBE-GGA) data for a relaxed BaCaY2 crystal, as listed in Alexandria.

Structure (POSCAR):
```
BaCaY2
1.0
-5.8122 -1.7299 -0.2710
-2.8338 -1.9148 5.0151
-4.3101 3.4316 2.5485
Y Ca Ba
2 1 1
Direct
0.0000 0.0000 0.0000
0.2500 0.2500 0.2500
0.7500 0.7500 0.7500
0.5000 0.5000 0.5000
```

Summary:
SG: F-43m

---

Stability check: which of them is most stable? Q).

---

P) First-principles (PBE-GGA) data for a relaxed BaCa2Y crystal, as listed in Alexandria.

Structure (POSCAR):
```
BaCa2Y
1.0
3.7771 0.0185 0.0000
-1.0785 3.6199 0.0000
0.0000 0.0000 12.3669
Y Ca Ba
1 2 1
Direct
0.5000 0.5000 0.2500
0.0000 0.0000 0.0215
0.0000 0.0000 0.4785
0.5000 0.5000 0.7500
```

Summary:
SG: Cmmm

---

Q) First-principles (PBE-GGA) data for a relaxed BaCa2Y crystal, as listed in Alexandria.

Structure (POSCAR):
```
BaCa2Y
1.0
7.3442 -0.0037 0.0010
3.4018 6.5089 -0.0010
-4.6362 -4.4698 3.5305
Y Ca Ba
1 2 1
Direct
0.5103 0.5103 0.0000
0.9908 0.9908 0.0000
0.7459 0.2459 0.5000
0.2529 0.7529 0.5000
```

Summary:
SG: Imm2

---

R) First-principles (PBE-GGA) data for a relaxed BaCa2Y crystal, as listed in Alexandria.

Structure (POSCAR):
```
BaCa2Y
1.0
4.2222 0.0000 0.0000
0.0000 4.2222 0.0000
0.0000 0.0000 9.6798
Y Ca Ba
1 2 1
Direct
0.5000 0.5000 0.2500
0.0000 0.0000 0.0386
0.0000 0.0000 0.4614
0.5000 0.5000 0.7500
```

Summary:
SG: P4/mmm

---

Stability check: which of them is most stable? R).

---

P) First-principles (PBE-GGA) data for a relaxed BaCa2Y crystal, as listed in Alexandria.

Structure (POSCAR):
```
BaCa2Y
1.0
4.1574 0.0000 0.0000
0.0000 4.1574 0.0000
0.0000 0.0000 9.9484
Y Ca Ba
1 2 1
Direct
0.0000 0.0000 0.4690
0.0000 0.0000 0.0325
0.5000 0.5000 0.2653
0.5000 0.5000 0.7332
```

Summary:
SG: P4mm

---

Q) First-principles (PBE-GGA) data for a relaxed BaCa2Y crystal, as listed in Alexandria.

Structure (POSCAR):
```
BaCa2Y
1.0
-0.1051 -3.2525 2.8168
0.6738 -4.0808 -4.6870
6.2127 0.3265 0.6088
Y Ca Ba
1 2 1
Direct
0.5000 0.5000 0.0000
0.0000 0.0000 0.0000
0.0000 0.5000 0.5000
0.5000 0.0000 0.5000
```

Summary:
SG: P4/mmm

---

Stability check: which of them is most stable? P).

---

P) First-principles (PBE-GGA) data for a relaxed Ba3CaY crystal, as listed in Alexandria.

Structure (POSCAR):
```
Ba3CaY
1.0
-1.8534 1.8796 5.9934
5.1270 -3.1572 2.5757
3.6287 5.4210 -0.5780
Y Ca Ba
1 1 3
Direct
0.5000 0.5000 0.5000
0.0000 0.0000 0.0000
0.0000 0.5000 0.0000
0.0000 0.0000 0.5000
0.5000 0.0000 0.0000
```

Summary:
SG: Pm-3m

---

Q) First-principles (PBE-GGA) data for a relaxed Ba3CaY crystal, as listed in Alexandria.

Structure (POSCAR):
```
Ba3CaY
1.0
6.6305 0.0000 0.0000
0.0000 6.6305 0.0000
0.0000 0.0000 6.6305
Y Ca Ba
1 1 3
Direct
0.0000 0.0000 0.0000
0.5000 0.5000 0.5000
0.0000 0.5000 0.0000
0.0000 0.0000 0.5000
0.5000 0.0000 0.0000
```

Summary:
SG: Pm-3m

---

Stability check: which of them is most stable? Q).